Record 1
A plane-wave DFT calculation with PBE-GGA was carried out for LiNd2NiH6 after structural relaxation.

```
data_LiNd2NiH6
_chemical_formula_sum 'Li1 Nd2 Ni1 H6'
_cell_length_a 4.656
_cell_length_b 5.008
_cell_length_c 5.008
_cell_angle_alpha 120.00
_cell_angle_beta 90.00
_cell_angle_gamma 90.00
_space_group_name_H-M_alt 'P 1'
_space_group_IT_number 1
loop_
_space_group_symop_operation_xyz
'x,y,z'
loop_
_atom_site_label
_atom_site_fract_x
_atom_site_fract_y
_atom_site_fract_z
_atom_site_occupancy
Ni1 0.000 0.000 0.000 1
H1 0.774 0.162 0.324 1
H2 0.774 0.676 0.838 1
Nd1 0.754 0.667 0.333 1
Nd2 0.246 0.333 0.667 1
H3 0.774 0.162 0.838 1
H4 0.226 0.324 0.162 1
H5 0.226 0.838 0.162 1
H6 0.226 0.838 0.676 1
Li1 0.500 0.000 0.000 1
```

Record 2
A plane-wave DFT calculation with PBE-GGA was carried out for LiNd2H6Os after structural relaxation.

```
data_LiNd2H6Os
_chemical_formula_sum 'Li1 Nd2 H6 Os1'
_cell_length_a 5.268
_cell_length_b 5.022
_cell_length_c 5.022
_cell_angle_alpha 120.00
_cell_angle_beta 90.00
_cell_angle_gamma 90.00
_space_group_name_H-M_alt 'P 1'
_space_group_IT_number 1
loop_
_space_group_symop_operation_xyz
'x,y,z'
loop_
_atom_site_label
_atom_site_fract_x
_atom_site_fract_y
_atom_site_fract_z
_atom_site_occupancy
H1 0.788 0.159 0.318 1
Nd1 0.236 0.333 0.667 1
H2 0.212 0.841 0.159 1
H3 0.788 0.682 0.841 1
Nd2 0.764 0.667 0.333 1
Li1 0.500 0.000 0.000 1
H4 0.212 0.318 0.159 1
H5 0.788 0.159 0.841 1
Os1 0.000 0.000 0.000 1
H6 0.212 0.841 0.682 1
```

Record 3
A plane-wave DFT calculation with PBE-GGA was carried out for LiNdPH after structural relaxation.

```
data_LiNdPH
_chemical_formula_sum 'Li2 Nd2 P2 H2'
_cell_length_a 3.913
_cell_length_b 3.913
_cell_length_c 8.331
_cell_angle_alpha 90.00
_cell_angle_beta 90.00
_cell_angle_gamma 90.00
_space_group_name_H-M_alt 'P 1'
_space_group_IT_number 1
loop_
_space_group_symop_operation_xyz
'x,y,z'
loop_
_atom_site_label
_atom_site_fract_x
_atom_site_fract_y
_atom_site_fract_z
_atom_site_occupancy
H1 0.500 0.500 0.000 1
H2 0.000 0.000 0.000 1
P1 0.000 0.500 0.307 1
Li1 0.000 0.000 0.500 1
Li2 0.500 0.500 0.500 1
P2 0.500 0.000 0.693 1
Nd1 0.500 0.000 0.168 1
Nd2 0.000 0.500 0.832 1
```

Record 4
A plane-wave DFT calculation with PBE-GGA was carried out for LiNdH8Pt2 after structural relaxation.

```
data_LiNdH8Pt2
_chemical_formula_sum 'Li1 Nd1 H8 Pt2'
_cell_length_a 4.804
_cell_length_b 4.804
_cell_length_c 6.187
_cell_angle_alpha 67.15
_cell_angle_beta 67.15
_cell_angle_gamma 60.00
_space_group_name_H-M_alt 'P 1'
_space_group_IT_number 1
loop_
_space_group_symop_operation_xyz
'x,y,z'
loop_
_atom_site_label
_atom_site_fract_x
_atom_site_fract_y
_atom_site_fract_z
_atom_site_occupancy
Nd1 0.500 0.500 0.500 1
H1 0.383 0.702 0.826 1
H2 0.298 0.911 0.174 1
Pt1 0.279 0.279 0.164 1
H3 0.911 0.617 0.174 1
H4 0.702 0.089 0.826 1
H5 0.180 0.180 0.459 1
Li1 0.000 0.000 0.000 1
H6 0.617 0.298 0.174 1
H7 0.820 0.820 0.541 1
H8 0.089 0.383 0.826 1
Pt2 0.721 0.721 0.836 1
```

Final energy
In order: -41.125, -46.238, -38.539, -47.887
Unit: eV for the cell shown